1.
InRe4Br: relaxed, PBE-GGA.

Geometry as extended XYZ:
```
6
Lattice="0.000 3.773 3.773 3.773 0.000 3.773 3.773 3.773 0.000" Properties=species:S:1:pos:R:3 pbc="T T T"
Br 5.659 5.659 5.659
Re 2.836 4.710 4.710
Re 4.710 4.710 2.836
Re 4.710 2.836 4.710
In 0.000 0.000 0.000
Re 2.836 2.836 2.836
```

Output
* space group: No. 216
* total DFT energy (no corrections): -47.42 eV/f.u.
* D(E_F): 1.055 states/eV per atom
* uncorrected formation energy: 1.131 eV/atom
* volume: 17.90 Å³ per atom
* magnetic moment: 0.0 Bohr magnetons per cell

2.
In4ReBr: relaxed, PBE-GGA.

Geometry as extended XYZ:
```
6
Lattice="-0.639 -5.597 -2.113 1.836 -4.687 3.296 -4.043 -3.706 2.474" Properties=species:S:1:pos:R:3 pbc="T T T"
In -1.069 -5.254 1.373
Br 0.000 0.000 0.000
Re -2.135 -10.493 2.743
In -3.082 -7.099 2.605
In -0.155 -7.588 3.014
In -1.387 -8.041 0.321
```

Output
* space group: No. 216
* total DFT energy (no corrections): -20.05 eV/f.u.
* D(E_F): 0.388 states/eV per atom
* uncorrected formation energy: 0.837 eV/atom
* volume: 25.67 Å³ per atom
* magnetic moment: 3.3 Bohr magnetons per cell

3.
InReBr3: relaxed, PBE-GGA.

Geometry as extended XYZ:
```
5
Lattice="5.255 0.000 0.000 0.000 5.255 0.000 0.000 0.000 5.255" Properties=species:S:1:pos:R:3 pbc="T T T"
Br 0.000 0.000 2.628
Br 2.628 0.000 0.000
In 2.628 2.628 2.628
Br 0.000 2.628 0.000
Re 0.000 0.000 0.000
```

Output
* space group: No. 221
* excess energy over the best structure of this formula in the dataset: 0 kJ/mol of formula units
* total DFT energy (no corrections): -19.10 eV/f.u.
* D(E_F): 0.459 states/eV per atom
* uncorrected formation energy: 0.221 eV/atom
* volume: 29.02 Å³ per atom
* magnetic moment: 3.0 Bohr magnetons per cell

4.
InReRu2Br: relaxed, PBE-GGA.

Geometry as extended XYZ:
```
5
Lattice="4.491 0.000 0.000 0.000 5.231 0.000 0.000 0.000 4.491" Properties=species:S:1:pos:R:3 pbc="T T T"
Ru 2.245 0.000 0.000
Ru 0.000 0.000 2.245
Re 2.245 2.616 2.245
In 0.000 2.616 0.000
Br 0.000 0.000 0.000
```

Output
* space group: No. 123
* total DFT energy (no corrections): -25.03 eV/f.u.
* D(E_F): 1.499 states/eV per atom
* uncorrected formation energy: 2.077 eV/atom
* volume: 21.10 Å³ per atom
* magnetic moment: 3.5 Bohr magnetons per cell

Which value of volume does entry 3 give?
29.02 Å³ per atom